# LiPr2ScO5 GGA-PBE relaxed
data_LiPr2ScO5
_cell_length_a 3.546
_cell_length_b 13.677
_cell_length_c 9.557
_cell_angle_alpha 90.00
_cell_angle_beta 90.00
_cell_angle_gamma 90.00
_symmetry_space_group_name_H-M 'C m c 21'
_symmetry_Int_Tables_number 36
loop_
_symmetry_equiv_pos_as_xyz
'x,y,z'
'-x,-y,z+1/2'
'-x,y,z'
'x,-y,z+1/2'
'x+1/2,y+1/2,z'
'-x+1/2,-y+1/2,z+1/2'
'-x+1/2,y+1/2,z'
'x+1/2,-y+1/2,z+1/2'
loop_
_atom_site_label
_atom_site_type_symbol
_atom_site_fract_x
_atom_site_fract_y
_atom_site_fract_z
Li1 Li 0.000 0.228 0.000
Pr1 Pr 0.000 0.125 0.302
Pr2 Pr 0.000 0.129 0.684
Sc1 Sc 0.000 0.429 0.488
O1 O 0.000 0.035 0.061
O2 O 0.000 0.304 0.357
O3 O 0.000 0.308 0.648
O4 O 0.000 0.364 0.005
O5 O 0.000 0.492 0.290
# ρ = 5.9 Mg/m³
# Spin magnetization = 0.00 Bohr magnetons per cell
# Formation energy (no corrections) = -3.0851 eV/atom
# Raw total energy = -0.575 Ry per atom